Cu2MoIr | Alexandria | PBE-GGA | relaxed; electronic total energy = -6.919 eV per atom; total magnetization = 0.0 μB per cell; mass density = 12.67 g cm⁻³; ΔE to the lowest computed polymorph = 20 meV per atom; DFT formation energy = 0.0523 eV/atom
1.0
4.6135 -0.0199 0.0000
1.4812 4.3693 0.0000
-3.0474 -2.1747 2.6962
Cu Ir Mo
2 1 1
Cartesian
0.0000 0.0000 0.0000
0.7406 2.1847 1.3481
3.0474 2.1747 0.0000
2.3068 -0.0100 1.3481